Entry 1:
Here is a geometry-optimized TaSi2Ag structure from Alexandria. Energies are from PBE.

POSCAR file:
```
TaSi2Ag
1.0
-1.869 1.869 4.467
1.869 -1.869 4.467
1.869 1.869 -4.467
Ta Si Ag
1 2 1
direct
0.000 0.000 0.000
0.250 0.750 0.500
0.500 0.500 0.000
0.750 0.250 0.500
```

Computed properties:
SG   I-4m2 (119)
Calculated total energy   -0.2319 hartree per atom
Energy relative to the elements, uncorrected   0.3 eV/f.u.
Magnetic moment   0.00 Bohr magnetons per cell


Entry 2:
Here is a geometry-optimized TaSiAg2 structure from Alexandria. Energies are from PBE.

POSCAR file:
```
TaSiAg2
1.0
2.849 0.000 0.000
0.000 3.454 0.000
0.000 0.000 6.903
Ta Si Ag
1 1 2
direct
0.000 0.000 0.000
0.500 0.500 0.786
0.000 0.000 0.546
0.500 0.500 0.277
```

Computed properties:
SG   Pmm2 (25)
Calculated total energy   -0.2049 hartree per atom
Energy relative to the elements, uncorrected   0.7 eV/f.u.
Magnetic moment   0.00 Bohr magnetons per cell


Entry 3:
Here is a geometry-optimized Ta3SiAg structure from Alexandria. Energies are from PBE.

POSCAR file:
```
Ta3SiAg
1.0
4.649 0.000 0.000
0.000 4.649 0.000
0.000 0.000 4.649
Ta Si Ag
3 1 1
direct
0.000 0.000 0.500
0.000 0.500 0.000
0.500 0.000 0.000
0.000 0.000 0.000
0.500 0.500 0.500
```

Computed properties:
SG   Pm-3m (221)
Calculated total energy   -0.2909 hartree per atom
ΔE to the lowest computed polymorph   0 meV per atom
Energy relative to the elements, uncorrected   4.3 eV/f.u.
Magnetic moment   0.00 Bohr magnetons per cell


Entry 4:
Here is a geometry-optimized TaSiAg2 structure from Alexandria. Energies are from PBE.

POSCAR file:
```
TaSiAg2
1.0
-1.866 1.866 10.402
1.866 -1.866 10.402
1.866 1.866 -10.402
Ta Si Ag
2 2 4
direct
0.000 0.000 0.000
0.750 0.250 0.500
0.250 0.750 0.500
0.500 0.500 0.000
0.128 0.625 0.003
0.375 0.378 0.503
0.622 0.125 0.997
0.875 0.872 0.497
```

Computed properties:
SG   I-42d (122)
Calculated total energy   -0.1986 hartree per atom
Energy relative to the elements, uncorrected   1.4 eV/f.u.
Magnetic moment   0.00 Bohr magnetons per cell


Entry 5:
Here is a geometry-optimized TaSiAg2 structure from Alexandria. Energies are from PBE.

POSCAR file:
```
TaSiAg2
1.0
4.873 -1.413 0.000
4.873 1.413 0.000
-1.790 0.000 4.955
Ta Si Ag
1 1 2
direct
0.000 0.000 0.000
0.255 0.255 0.909
0.544 0.544 0.532
0.779 0.779 0.368
```

Computed properties:
SG   Cm (8)
Calculated total energy   -0.2040 hartree per atom
Energy relative to the elements, uncorrected   0.8 eV/f.u.
Magnetic moment   0.00 Bohr magnetons per cell


Entry 6:
Here is a geometry-optimized TaSiAg2 structure from Alexandria. Energies are from PBE.

POSCAR file:
```
TaSiAg2
1.0
2.791 0.000 0.000
0.000 2.791 0.000
0.000 0.000 8.855
Ta Si Ag
1 1 2
direct
0.000 0.000 0.000
0.000 0.000 0.500
0.500 0.500 0.256
0.500 0.500 0.744
```

Computed properties:
SG   P4/mmm (123)
Calculated total energy   -0.1982 hartree per atom
Energy relative to the elements, uncorrected   1.4 eV/f.u.
Magnetic moment   0.00 Bohr magnetons per cell


Entry 7:
Here is a geometry-optimized TaSiAg2 structure from Alexandria. Energies are from PBE.

POSCAR file:
```
TaSiAg2
1.0
1.808 -2.205 0.000
1.808 2.205 0.000
0.000 0.000 8.518
Ta Si Ag
1 1 2
direct
0.000 0.000 0.000
0.500 0.500 0.223
0.000 0.000 0.467
0.500 0.500 0.735
```

Computed properties:
SG   Cmm2 (35)
Calculated total energy   -0.2067 hartree per atom
Energy relative to the elements, uncorrected   0.5 eV/f.u.
Magnetic moment   0.00 Bohr magnetons per cell


Entry 8:
Here is a geometry-optimized TaSiAg structure from Alexandria. Energies are from PBE.

POSCAR file:
```
TaSiAg
1.0
0.000 2.232 6.440
1.747 0.000 6.440
1.747 2.232 0.000
Ta Si Ag
1 1 1
direct
0.000 0.000 0.000
0.348 0.348 0.652
0.682 0.682 0.318
```

Computed properties:
SG   Fmm2 (42)
Calculated total energy   -0.2426 hartree per atom
Energy relative to the elements, uncorrected   0.3 eV/f.u.
Magnetic moment   0.00 Bohr magnetons per cell


What is the magnetic moment in the seventh record? 0.00 Bohr magnetons per cell


Copy entry 5 word for word.
Here is a geometry-optimized TaSiAg2 structure from Alexandria. Energies are from PBE.

POSCAR file:
```
TaSiAg2
1.0
4.873 -1.413 0.000
4.873 1.413 0.000
-1.790 0.000 4.955
Ta Si Ag
1 1 2
direct
0.000 0.000 0.000
0.255 0.255 0.909
0.544 0.544 0.532
0.779 0.779 0.368
```

Computed properties:
SG   Cm (8)
Calculated total energy   -0.2040 hartree per atom
Energy relative to the elements, uncorrected   0.8 eV/f.u.
Magnetic moment   0.00 Bohr magnetons per cell